Record 1
This record from OQMD describes a relaxed Sc2Cu2Au crystal. The functional is GGA-PBE.

Cell lengths 7.3491, 7.3491, 7.3491 Å; angles 151.72, 151.72, 40.42 degrees
Last column: nearest neighbours and their distance in Å.
Positions (direct):
Au 0.0000 0.0000 0.0000  8 Sc 2.93
Cu 0.7500 0.2500 0.5000  4 Cu 2.54, 4 Sc 2.67
Cu 0.2500 0.7500 0.5000  4 Cu 2.54, 4 Sc 2.67
Sc 0.3935 0.3935 0.0000  4 Cu 2.67, 4 Au 2.93, 1 Sc 2.94
Sc 0.6065 0.6065 0.0000  4 Cu 2.67, 4 Au 2.93, 1 Sc 2.94

Calculated values
spin magnetization = 0.005 μB per atom
energy of formation = -0.797 eV per formula unit
symmetry = I4/mmm, No. 139

---

Record 2
This record from OQMD describes a relaxed Y2LuCu4Si4 crystal. The functional is GGA-PBE.

Cell lengths 7.8154, 7.8154, 7.8154 Å; angles 149.42, 130.86, 59.00 degrees
Last column: nearest neighbours and their distance in Å.
Positions (direct):
Cu 0.6406 0.3311 0.3095  4 Si 2.43-2.56, 1 Cu 2.48
Cu 0.9784 0.6689 0.3095  4 Si 2.43-2.56, 1 Cu 2.48
Cu 0.0216 0.3311 0.6905  4 Si 2.43-2.56, 1 Cu 2.48
Cu 0.3594 0.6689 0.6905  4 Si 2.43-2.56, 1 Cu 2.48
Lu 0.0000 0.0000 0.0000  6 Si 2.89-2.92
Si 0.2149 0.2149 0.0000  6 Cu 2.48-2.56
Si 0.7851 0.7851 0.0000  6 Cu 2.48-2.56
Si 0.6880 0.5000 0.1880  2 Cu 2.43, 1 Si 2.44
Si 0.3120 0.5000 0.8120  2 Cu 2.43, 1 Si 2.44
Y 0.6292 0.1292 0.5000  6 Cu 2.93-3.01, 6 Si 2.96-2.97
Y 0.3708 0.8708 0.5000  6 Cu 2.93-3.01, 6 Si 2.96-2.97

Calculated values
spin magnetization = 0.000 μB per atom
E = -5.54 eV per atom
symmetry = Immm, No. 71